{"formula": "BaReAs2Se", "functional": "PBE", "state": "relaxed", "lattice": [[4.765, 0.000, 0.000], [0.000, 4.765, 0.000], [0.000, 0.000, 5.840]], "species": ["Ba", "Re", "As", "As", "Se"], "frac_coords": [[0.000, 0.000, 0.000], [0.500, 0.500, 0.500], [0.000, 0.500, 0.500], [0.500, 0.000, 0.500], [0.500, 0.500, 0.000]], "raw_formation_energy_ev_per_atom": -0.336, "de_polymorph_kj_per_mol_atoms": 0.0, "e_tot_ev_per_atom": -5.77, "total_magnetization_mub_per_fu": 0.000}